12
Lattice="-0.7141 -2.4483 -6.0529 3.8184 -5.3441 -0.0482 -5.3500 -3.8342 2.1892" Properties=species:S:1:pos:R:3 comment="PaTaS4, optimized geometry, DFT PBE" polymorph_energy_mev_per_atom=0 n_ef_per_ev_atom=1.061 total_magnetization_mub_per_cell=0.00 rho_g_cm3=6.19 formation_energy_uncorrected_ev_per_atom=-1.27 pbc="T T T"
S 0.3123 -3.1369 -4.7476
S -2.5579 -8.4896 0.8356
S -3.2624 -4.7656 0.1701
S 0.1493 -6.6589 -0.3250
S -2.3949 -4.9676 -3.5870
S 1.0167 -6.8609 -4.0820
S -1.6534 -8.7811 -2.9809
S -0.5923 -2.8454 -0.9310
Ta 2.4799 -6.3020 0.4978
Ta -4.7256 -5.3245 -4.4098
Pa -0.7658 -4.5891 1.0705
Pa -0.3570 -1.2241 -3.0265